Cs2DyBe2Se4 after structural relaxation. Source: Alexandria via LeMat-Bulk, functional PBE-GGA.

Cell: 15.289 3.951 8.569 Å, 90.00 108.91 90.00°
Space group C2/m (No. 12)
Inequivalent atoms, fractional coordinates:
Cs 0.133 0.000 0.038 [4 per cell]
Dy 0.000 0.000 0.500 [2 per cell]
Be 0.171 0.500 0.476 [4 per cell]
Se 0.034 0.500 0.279 [4 per cell]
Se 0.203 0.000 0.633 [4 per cell]

Properties
- Volume: 27.2 A^3/atom
- Raw formation energy: -1064 meV/atom